Entry 1:
{"formula": "Ce2PmPt2", "functional": "PBE-GGA", "state": "relaxed", "formation_enthalpy_0k_ev_per_atom": -0.675, "e_above_lowest_polymorph_mev_per_atom": 203, "dos_at_fermi_per_ev_cell": 23.2, "lattice": [[5.082, -5.292, 0.000], [5.082, 5.292, 0.000], [-5.024, 0.000, 5.359]], "species": ["Ce", "Ce", "Ce", "Ce", "Pm", "Pm", "Pt", "Pt", "Pt", "Pt"], "fractional_positions": [[0.041, 0.290, 0.080], [0.290, 0.041, 0.580], [0.710, 0.959, 0.420], [0.959, 0.710, 0.920], [0.375, 0.625, 0.750], [0.625, 0.375, 0.250], [0.098, 0.902, 0.750], [0.347, 0.653, 0.250], [0.653, 0.347, 0.750], [0.902, 0.098, 0.250]]}

***

Entry 2:
{"formula": "LaCr2Hg", "functional": "PBE-GGA", "state": "relaxed", "formation_enthalpy_0k_ev_per_atom": 0.605, "dos_at_fermi_per_ev_cell": 3.7, "lattice": [[4.509, 0.000, 0.000], [0.000, 4.621, 0.000], [0.000, 0.000, 4.726]], "species": ["La", "Cr", "Cr", "Hg"], "fractional_positions": [[0.000, 0.000, 0.000], [0.500, 0.196, 0.500], [0.500, 0.804, 0.500], [0.500, 0.500, 0.000]]}